Below is an optimized crystal structure of Cs2Ti2Tl, with properties calculated at the PBE level.

Properties
Calculated formation energy in meV/atom: 1123
E_tot in eV/atom: -2.85

Cell lengths 8.8692, 8.8692, 8.8692 Å; angles 149.57, 149.57, 43.57 degrees
Closest atoms and distances in Å follow each position.
Atoms (fractional coordinates):
Cs  0.2500  0.7500  0.5000  4 Cs 3.29
Cs  0.7500  0.2500  0.5000  4 Cs 3.29
Ti  0.0613  0.0613  0.0000  1 Ti 2.02
Ti  0.9387  0.9387  0.0000  1 Ti 2.02
Tl  0.5000  0.5000  0.0000  8 Ti 3.44